Entry i
Li3ZnMo: relaxed, PBE-GGA.

abc: 4.3146 4.3146 4.3146
angles: 90.00 90.00 90.00
Last column: nearest neighbours and their distance in Å.
Element x y z (fractional)
Mo 0.5000 0.5000 0.5000  12 Li 3.05
Zn 0.0000 0.0000 0.0000  6 Li 2.16
Li 0.0000 0.5000 0.0000  2 Zn 2.16
Li 0.0000 0.0000 0.5000  2 Zn 2.16
Li 0.5000 0.0000 0.0000  2 Zn 2.16



Entry ii
Li3ZnMo: relaxed, PBE-GGA.

abc: 5.0442 5.0442 5.0442
angles: 90.00 90.00 90.00
Last column: nearest neighbours and their distance in Å.
Element x y z (fractional)
Mo 0.0000 0.0000 0.0000  6 Li 2.52
Zn 0.5000 0.5000 0.5000  12 Li 3.57
Li 0.0000 0.5000 0.0000  2 Mo 2.52
Li 0.0000 0.0000 0.5000  2 Mo 2.52
Li 0.5000 0.0000 0.0000  2 Mo 2.52



Verdict on stability: entry ii comes out at the bottom.



Entry i
LiZr2Mo: relaxed, PBE-GGA.

abc: 4.7258 4.7258 4.7258
angles: 60.00 60.00 60.00
Last column: nearest neighbours and their distance in Å.
Element x y z (fractional)
Mo 0.5000 0.5000 0.5000  8 Zr 2.89
Zr 0.2500 0.2500 0.2500  4 Mo 2.89, 4 Li 2.89
Zr 0.7500 0.7500 0.7500  4 Mo 2.89, 4 Li 2.89
Li 0.0000 0.0000 0.0000  8 Zr 2.89



Entry ii
LiZr2Mo: relaxed, PBE-GGA.

abc: 10.9849 10.9849 10.9849
angles: 15.26 15.26 15.26
Last column: nearest neighbours and their distance in Å.
Element x y z (fractional)
Li 0.2500 0.2500 0.2500  6 Li 2.92
Mo 0.7500 0.7500 0.7500  6 Mo 2.92, 6 Zr 3.09
Zr 0.0038 0.0038 0.0038  6 Zr 2.92, 3 Mo 3.09
Zr 0.4962 0.4962 0.4962  6 Zr 2.92, 3 Mo 3.09



Entry iii
LiZr2Mo: relaxed, PBE-GGA.

abc: 2.9891 2.9891 9.7780
angles: 90.00 90.00 110.64
Last column: nearest neighbours and their distance in Å.
Element x y z (fractional)
Li 0.5000 0.5000 0.2500  4 Li 2.99, 4 Zr 3.20
Mo 0.5000 0.5000 0.7500  4 Zr 2.76, 4 Mo 2.99
Zr 0.0000 0.0000 0.9725  2 Mo 2.76, 4 Zr 2.99
Zr 0.0000 0.0000 0.5275  2 Mo 2.76, 4 Zr 2.99



Entry iv
LiZr2Mo: relaxed, PBE-GGA.

abc: 3.4629 3.4629 6.2210
angles: 90.00 90.00 90.00
Last column: nearest neighbours and their distance in Å.
Element x y z (fractional)
Li 0.0000 0.0000 0.5210  5 Zr 2.78-2.92, 4 Mo 2.82
Mo 0.5000 0.5000 0.7452  5 Zr 2.81-2.98, 4 Li 2.82
Zr 0.0000 0.0000 0.9678  1 Li 2.78, 4 Mo 2.81, 4 Zr 3.07
Zr 0.5000 0.5000 0.2660  4 Li 2.92, 2 Mo 2.98-3.24, 4 Zr 3.07



Verdict on stability: entry ii comes out at the bottom.



Entry i
LiZrMo3: relaxed, PBE-GGA.

abc: 4.3597 4.3597 4.3597
angles: 90.00 90.00 90.00
Last column: nearest neighbours and their distance in Å.
Element x y z (fractional)
Mo 0.0000 0.5000 0.0000  2 Li 2.18
Mo 0.0000 0.0000 0.5000  2 Li 2.18
Mo 0.5000 0.0000 0.0000  2 Li 2.18
Zr 0.5000 0.5000 0.5000  12 Mo 3.08
Li 0.0000 0.0000 0.0000  6 Mo 2.18



Entry ii
LiZrMo3: relaxed, PBE-GGA.

abc: 4.8375 4.8375 4.8375
angles: 90.00 90.00 90.00
Last column: nearest neighbours and their distance in Å.
Element x y z (fractional)
Mo 0.0000 0.5000 0.0000  2 Zr 2.42
Mo 0.0000 0.0000 0.5000  2 Zr 2.42
Mo 0.5000 0.0000 0.0000  2 Zr 2.42
Zr 0.0000 0.0000 0.0000  6 Mo 2.42
Li 0.5000 0.5000 0.5000  12 Mo 3.42



Verdict on stability: entry ii comes out at the bottom.



Entry i
Na3Li3N2: relaxed, PBE-GGA.

abc: 4.0038 3.8647 7.9776
angles: 93.18 90.00 90.00
Last column: nearest neighbours and their distance in Å.
Element x y z (fractional)
Na 0.5000 0.3319 0.5132  2 N 2.41
Na 0.0000 0.7170 0.3842  1 Li 2.45, 3 N 2.55-2.67, 2 Na 2.73
Na 0.5000 0.5156 0.8516  3 N 2.46-2.58, 1 Na 2.75
Li 0.0000 0.9689 0.7128  2 N 1.96
Li 0.0000 0.4850 0.0925  2 N 2.11
Li 0.5000 0.0288 0.1585  2 N 1.93-1.94
N 0.0000 0.4632 0.6721  2 Li 1.96
N 0.5000 0.5317 0.1760  4 Li 1.93-2.11



Entry ii
Na3Li3N2: relaxed, PBE-GGA.

abc: 3.8025 3.8025 11.7235
angles: 90.00 90.00 90.00
Last column: nearest neighbours and their distance in Å.
Element x y z (fractional)
Na 0.0000 0.0000 0.7900  2 N 2.45, 1 Li 2.46
Na 0.0000 0.0000 0.2100  2 N 2.45, 1 Li 2.46
Na 0.0000 0.0000 0.5000  4 Li 2.69
Li 0.5000 0.5000 0.5000  4 Na 2.69
Li 0.5000 0.5000 0.0000  4 N 2.11
Li 0.0000 0.0000 0.0000  4 N 2.11
N 0.0000 0.5000 0.0786  4 Li 2.11
N 0.5000 0.0000 0.9214  4 Li 2.11



Verdict on stability: entry ii comes out at the bottom.



Entry i
Na5LiN2: relaxed, PBE-GGA.

abc: 4.4188 4.3527 7.7068
angles: 89.68 90.00 90.00
Last column: nearest neighbours and their distance in Å.
Element x y z (fractional)
Na 0.5000 0.3395 0.0277  3 N 2.47-2.72, 3 Na 2.69-2.74
Na 0.0000 0.6347 0.8999  3 N 2.54-2.65, 3 Na 2.73-2.74
Na 0.5000 0.5547 0.3544  2 N 2.47, 3 Na 2.69-2.74
Na 0.0000 0.4629 0.5595  3 N 2.55-2.63, 3 Na 2.73-2.74
Na 0.5000 0.0147 0.6715  2 N 2.20-2.22
Li 0.0000 0.9951 0.2301  2 N 2.11-2.25
N 0.5000 0.5162 0.7223  2 Na 2.20-2.22
N 0.0000 0.4791 0.2176  2 Li 2.11-2.25



Entry ii
Na5LiN2: relaxed, PBE-GGA.

abc: 5.0098 5.0098 6.6539
angles: 87.81 87.81 112.00
Last column: nearest neighbours and their distance in Å.
Element x y z (fractional)
Na 0.2412 0.7588 0.0000  2 N 2.40
Na 0.5835 0.4117 0.7659  2 N 2.48-2.54
Na 0.9140 0.0860 0.5000  2 N 2.35
Na 0.2682 0.7318 0.5000  2 N 2.37
Na 0.5883 0.4165 0.2341  2 N 2.48-2.54
Li 0.8866 0.1134 0.0000  2 N 1.95
N 0.0777 0.3804 0.7711  1 Li 1.95
N 0.6196 0.9223 0.2289  1 Li 1.95



Verdict on stability: entry i comes out at the bottom.



Entry i
NaLiSeN2: relaxed, PBE-GGA.

abc: 4.5689 4.5689 5.6054
angles: 90.00 90.00 90.00
Last column: nearest neighbours and their distance in Å.
Element x y z (fractional)
Na 0.0000 0.0000 0.0000  4 N 2.28
Li 0.5000 0.5000 0.5000  4 Se 3.23, 8 N 3.62
Se 0.0000 0.0000 0.5000  2 Na 2.80
N 0.0000 0.5000 0.0000  2 Na 2.28
N 0.5000 0.0000 0.0000  2 Na 2.28



Entry ii
NaLiSeN2: relaxed, PBE-GGA.

abc: 4.2557 4.2557 4.8758
angles: 90.00 90.00 90.00
Last column: nearest neighbours and their distance in Å.
Element x y z (fractional)
Na 0.5000 0.5000 0.5000  4 Se 3.01, 8 N 3.24
Li 0.0000 0.0000 0.0000  4 N 2.13
Se 0.0000 0.0000 0.5000  2 Li 2.44
N 0.0000 0.5000 0.0000  2 Li 2.13
N 0.5000 0.0000 0.0000  2 Li 2.13



Verdict on stability: entry i comes out at the bottom.